# 1
A geometry-optimized Li4MoW3N8 structure, computed with PBE.

Cell lengths 6.2186, 6.2186, 6.2186 Å; angles 57.15, 57.15, 57.15 degrees
Fractional positions:
Li 0.0000 0.0000 0.0000
Li 0.0000 0.5000 0.5000
Li 0.5000 0.0000 0.5000
Li 0.5000 0.5000 0.0000
Mo 0.5000 0.5000 0.5000
W 0.0000 0.0000 0.5000
W 0.0000 0.5000 0.0000
W 0.5000 0.0000 0.0000
N 0.2389 0.7454 0.7454
N 0.2432 0.2432 0.2432
N 0.2546 0.2546 0.7611
N 0.2546 0.7611 0.2546
N 0.7454 0.2389 0.7454
N 0.7454 0.7454 0.2389
N 0.7568 0.7568 0.7568
N 0.7611 0.2546 0.2546

Output
Mass density = 8.23 g/cm³
E_form (uncorrected) = -11.71 kcal/mol of atoms
Calculated volume = 158.9 Å³/cell
SG = No. 166

***

# 2
A geometry-optimized MnGaP2 structure, computed with PBE.

Cell lengths 6.5344, 6.5344, 6.5344 Å; angles 132.45, 132.45, 69.52 degrees
Fractional positions:
Mn 0.0000 0.0000 0.0000
Mn 0.7500 0.2500 0.5000
Ga 0.2500 0.7500 0.5000
Ga 0.5000 0.5000 0.0000
P 0.0848 0.6250 0.9598
P 0.3750 0.3348 0.4598
P 0.6652 0.1250 0.0402
P 0.8750 0.9152 0.5402

Output
Mass density = 4.16 g/cm³
ΔE_f = -0.046 eV/atom
Calculated volume = 149.0 Å³/cell
SG = No. 122

***

# 3
A geometry-optimized HgAsIr2 structure, computed with PBE.

Cell lengths 2.8265, 2.8265, 10.9570 Å; angles 90.00, 90.00, 120.50 degrees
Fractional positions:
Hg 0.0000 0.0000 0.0000
As 0.5000 0.5000 0.6473
Ir 0.0000 0.0000 0.4531
Ir 0.5000 0.5000 0.2432

Output
Mass density = 14.53 g/cm³
ΔE_f = 0.377 eV/atom
Calculated volume = 75.4 Å³/cell
ΔE to the lowest computed polymorph = 0.58 eV/f.u.
SG = No. 35

***

# 4
A geometry-optimized BeTe3 structure, computed with PBE.

Cell lengths 5.2062, 5.2062, 5.2062 Å; angles 109.47, 109.47, 109.47 degrees
Fractional positions:
Be 0.0000 0.0000 0.0000
Te 0.0000 0.5000 0.5000
Te 0.5000 0.0000 0.5000
Te 0.5000 0.5000 0.0000

Output
Mass density = 5.99 g/cm³
E_form (uncorrected) = 7.32 kcal/mol of atoms
Calculated volume = 108.6 Å³/cell
ΔE to the lowest computed polymorph = 1.16 eV/f.u.
SG = No. 229

***

# 5
A geometry-optimized CePd structure, computed with PBE.

Cell lengths 5.8203, 5.8203, 4.5239 Å; angles 90.00, 90.00, 141.62 degrees
Fractional positions:
Ce 0.1370 0.8630 0.7500
Ce 0.8630 0.1370 0.2500
Pd 0.4101 0.5899 0.7500
Pd 0.5899 0.4101 0.2500

Output
Mass density = 8.61 g/cm³
ΔE_f = -0.670 eV/atom
Calculated volume = 95.1 Å³/cell
SG = No. 63

***

# 6
A geometry-optimized TaReSi2 structure, computed with PBE.

Cell lengths 4.4371, 4.4371, 5.0072 Å; angles 101.85, 101.85, 38.63 degrees
Fractional positions:
Ta 0.0000 0.0000 0.0000
Re 0.5000 0.5000 0.5000
Si 0.2447 0.2447 0.7117
Si 0.7553 0.7553 0.2883

Output
Mass density = 11.70 g/cm³
E_form (uncorrected) = -1.78 kcal/mol of atoms
Calculated volume = 60.1 Å³/cell
SG = No. 12

***

- What is the mass density in the first record?
  8.23 g/cm³

***

- What is the mass density in the second record?
  4.16 g/cm³

***

Please write out number 2 again, unchanged.
A geometry-optimized MnGaP2 structure, computed with PBE.

Cell lengths 6.5344, 6.5344, 6.5344 Å; angles 132.45, 132.45, 69.52 degrees
Fractional positions:
Mn 0.0000 0.0000 0.0000
Mn 0.7500 0.2500 0.5000
Ga 0.2500 0.7500 0.5000
Ga 0.5000 0.5000 0.0000
P 0.0848 0.6250 0.9598
P 0.3750 0.3348 0.4598
P 0.6652 0.1250 0.0402
P 0.8750 0.9152 0.5402

Output
Mass density = 4.16 g/cm³
ΔE_f = -0.046 eV/atom
Calculated volume = 149.0 Å³/cell
SG = No. 122

***

- Which formula does entry 5 have?
  CePd